A geometry-optimized Sc3CdO structure, computed with PBE.

Cell and atoms, written as CIF:
```
data_Sc3CdO
_chemical_formula_sum 'Sc6 Cd2 O2'
_symmetry_space_group_name_H-M 'P 1'
_symmetry_Int_Tables_number 1
_cell_length_a 9.630
_cell_length_b 9.630
_cell_length_c 4.412
_cell_angle_alpha 103.19
_cell_angle_beta 103.19
_cell_angle_gamma 26.95
loop_
_symmetry_equiv_pos_as_xyz
'x,y,z'
loop_
_atom_site_label
_atom_site_fract_x
_atom_site_fract_y
_atom_site_fract_z
Sc1 0.060 0.060 0.310
Sc2 0.180 0.180 0.930
Sc3 0.306 0.306 0.557
Sc4 0.694 0.694 0.443
Sc5 0.820 0.820 0.070
Sc6 0.940 0.940 0.690
Cd1 0.438 0.438 0.188
Cd2 0.562 0.562 0.812
O1 0.182 0.182 0.432
O2 0.818 0.818 0.568
```

Summary:
For the energy, the calculation gives -6.2890 eV per atom. The theoretical density is 4.85 g cm⁻³. The space-group type is C2/m, No. 12.

=====

A geometry-optimized Sc3CdO structure, computed with PBE.

Cell and atoms, written as CIF:
```
data_Sc3CdO
_chemical_formula_sum 'Sc3 Cd1 O1'
_symmetry_space_group_name_H-M 'P 1'
_symmetry_Int_Tables_number 1
_cell_length_a 4.454
_cell_length_b 4.454
_cell_length_c 4.454
_cell_angle_alpha 90.00
_cell_angle_beta 90.00
_cell_angle_gamma 90.00
loop_
_symmetry_equiv_pos_as_xyz
'x,y,z'
loop_
_atom_site_label
_atom_site_fract_x
_atom_site_fract_y
_atom_site_fract_z
Sc1 0.000 0.000 0.500
Sc2 0.000 0.500 0.000
Sc3 0.500 0.000 0.000
Cd1 0.500 0.500 0.500
O1 0.000 0.000 0.000
```

Summary:
For the energy, the calculation gives -6.3799 eV per atom. The theoretical density is 4.95 g cm⁻³. The space-group type is Pm-3m, No. 221.

=====

A geometry-optimized ScCd2O2 structure, computed with PBE.

Cell and atoms, written as CIF:
```
data_ScCd2O2
_chemical_formula_sum 'Sc2 Cd4 O4'
_symmetry_space_group_name_H-M 'P 1'
_symmetry_Int_Tables_number 1
_cell_length_a 7.388
_cell_length_b 7.388
_cell_length_c 3.124
_cell_angle_alpha 90.00
_cell_angle_beta 90.00
_cell_angle_gamma 90.00
loop_
_symmetry_equiv_pos_as_xyz
'x,y,z'
loop_
_atom_site_label
_atom_site_fract_x
_atom_site_fract_y
_atom_site_fract_z
Sc1 0.000 0.000 0.000
Sc2 0.500 0.500 0.000
Cd1 0.122 0.378 0.000
Cd2 0.378 0.878 0.000
Cd3 0.622 0.122 0.000
Cd4 0.878 0.622 0.000
O1 0.223 0.723 0.500
O2 0.277 0.223 0.500
O3 0.723 0.777 0.500
O4 0.777 0.277 0.500
```

Summary:
For the energy, the calculation gives -3.8814 eV per atom. The theoretical density is 5.88 g cm⁻³. The space-group type is P4/mbm, No. 127.

=====

A geometry-optimized ScCdSeO5 structure, computed with PBE.

Cell and atoms, written as CIF:
```
data_ScCdSeO5
_chemical_formula_sum 'Sc2 Cd2 Se2 O10'
_symmetry_space_group_name_H-M 'P 1'
_symmetry_Int_Tables_number 1
_cell_length_a 5.773
_cell_length_b 5.773
_cell_length_c 7.945
_cell_angle_alpha 108.53
_cell_angle_beta 108.53
_cell_angle_gamma 96.09
loop_
_symmetry_equiv_pos_as_xyz
'x,y,z'
loop_
_atom_site_label
_atom_site_fract_x
_atom_site_fract_y
_atom_site_fract_z
Sc1 0.000 0.000 0.000
Sc2 0.000 0.000 0.500
Cd1 0.306 0.694 0.750
Cd2 0.694 0.306 0.250
Se1 0.324 0.676 0.250
Se2 0.676 0.324 0.750
O1 0.052 0.948 0.750
O2 0.186 0.693 0.437
O3 0.280 0.358 0.127
O4 0.307 0.814 0.063
O5 0.358 0.280 0.627
O6 0.642 0.720 0.373
O7 0.693 0.186 0.937
O8 0.720 0.642 0.873
O9 0.814 0.307 0.563
O10 0.948 0.052 0.250
```

Summary:
For the energy, the calculation gives -5.9731 eV per atom. The theoretical density is 4.54 g cm⁻³. The space-group type is C2/c, No. 15.